1.
The following is a DFT calculation (PBE) of KHg2GeCl after structural relaxation.

The structure belongs to space group P4/mmm (No. 123); the cell edges are 6.4096, 6.4096 and 6.5814 Å and the angles 90.00°, 90.00° and 90.00°. The inequivalent atoms are K at (0.0000, 0.0000, 0.0000), Hg at (0.0000, 0.5000, 0.0000), Ge at (0.0000, 0.0000, 0.5000) and Cl at (0.5000, 0.5000, 0.5000).

As for the formation energy (no corrections): 0.42 eV/atom. The calculation puts the total moment at 2.0 μB per formula unit. Its uncorrected energy is -6.07 eV/cell.

2.
The following is a DFT calculation (PBE) of Cs2CuHgF after structural relaxation.

The structure belongs to space group P4/mmm (No. 123); the cell edges are 5.7540, 5.7540 and 5.7866 Å and the angles 90.00°, 90.00° and 90.00°. The inequivalent atoms are Cs at (0.0000, 0.5000, 0.0000), Cu at (0.0000, 0.0000, 0.5000), Hg at (0.5000, 0.5000, 0.5000) and F at (0.5000, 0.5000, 0.0000).

As for the formation energy (no corrections): -0.77 eV/atom. The calculation puts the total moment at 0.0 μB per formula unit. Its uncorrected energy is -11.83 eV/cell.

3.
The following is a DFT calculation (PBE) of LaMgIr2 after structural relaxation.

The structure belongs to space group I-42d (No. 122); the cell edges are 4.7454, 4.7454 and 17.4780 Å and the angles 90.00°, 90.00° and 90.00°. The inequivalent atoms are La at (0.0000, 0.0000, 0.0000), Mg at (0.0000, 0.0000, 0.5000) and Ir at (0.0860, 0.2500, 0.6250).

The calculation puts the total moment at 0.0 μB per formula unit. Its uncorrected energy is -97.69 eV/cell. The formation energy from the elements comes out at -0.044 eV per atom.

4.
The following is a DFT calculation (PBE) of Cu2PtCl after structural relaxation.

The structure belongs to space group Immm (No. 71); the cell edges are 2.9066, 5.0106 and 8.3690 Å and the angles 90.00°, 90.00° and 90.00°. The inequivalent atoms are Cu at (0.0000, 0.0000, 0.2396), Pt at (0.0000, 0.5000, 0.0000) and Cl at (0.0000, 0.5000, 0.5000).

As for the formation energy (no corrections): 0.38 eV/atom. As for the energy above the most stable polymorph in this dataset: 0.427 eV per atom. The calculation puts the total moment at 0.0 μB per formula unit. Its uncorrected energy is -29.09 eV/cell.

5.
The following is a DFT calculation (PBE) of Ta2ZnCu after structural relaxation.

The structure belongs to space group C2/m (No. 12); the cell edges are 9.6067, 2.8207 and 4.8737 Å and the angles 90.00°, 100.41° and 90.00°. The inequivalent atoms are Ta at (0.2481, 0.0000, 0.2472), Zn at (0.0000, 0.0000, 0.5000) and Cu at (0.0000, 0.5000, 0.0000).

The calculation puts the total moment at 0.0 μB per formula unit. Its uncorrected energy is -56.53 eV/cell. The formation energy from the elements comes out at 0.202 eV per atom.

6.
The following is a DFT calculation (PBE) of PmSO after structural relaxation.

The structure belongs to space group R-3m (No. 166, hexagonal axes); the cell edges are 4.0801, 4.0801 and 23.8148 Å and the angles 90.00°, 90.00° and 120.00°. The inequivalent atoms are Pm at (0.0000, 0.0000, 0.2277), S at (0.0000, 0.0000, 0.3615) and O at (0.0000, 0.0000, 0.1300).

As for the formation energy (no corrections): -2.11 eV/atom. As for the energy above the most stable polymorph in this dataset: 0.000 eV per atom. The calculation puts the total moment at 0.9 μB per formula unit. Its uncorrected energy is -121.00 eV/cell.

7.
The following is a DFT calculation (PBE) of Mg2ZnPtF after structural relaxation.

The structure belongs to space group P4/mmm (No. 123); the cell edges are 5.0153, 5.0153 and 4.7871 Å and the angles 90.00°, 90.00° and 90.00°. The inequivalent atoms are Mg at (0.0000, 0.5000, 0.0000), Zn at (0.0000, 0.0000, 0.5000), Pt at (0.0000, 0.0000, 0.0000) and F at (0.5000, 0.5000, 0.5000).

As for the formation energy (no corrections): -0.61 eV/atom. The calculation puts the total moment at 0.0 μB per formula unit. Its uncorrected energy is -15.40 eV/cell.

8.
The following is a DFT calculation (PBE) of Zr2InN after structural relaxation.

The structure belongs to space group I-42d (No. 122); the cell edges are 6.6688, 6.6688 and 7.2120 Å and the angles 90.00°, 90.00° and 90.00°. The inequivalent atoms are Zr at (0.1445, 0.2500, 0.1250), In at (0.0000, 0.0000, 0.5000) and N at (0.0000, 0.0000, 0.0000).

As for the formation energy (no corrections): -0.60 eV/atom. The calculation puts the total moment at 0.0 μB per formula unit. Its uncorrected energy is -122.30 eV/cell.

9.
The following is a DFT calculation (PBE) of BP4S3Br3 after structural relaxation.

The structure belongs to space group P2_1/m (No. 11); the cell edges are 7.2098, 11.7060 and 9.0285 Å and the angles 90.00°, 111.74° and 90.00°. The inequivalent atoms are B at (0.1851, 0.2500, 0.2787), P at (0.1473, 0.2500, 0.8283), P at (0.2528, 0.2500, 0.5156), P at (0.4366, 0.1528, 0.8694), S at (0.0012, 0.2500, 0.5789), S at (0.4185, 0.1094, 0.6378), Br at (0.0287, 0.1067, 0.1982) and Br at (0.4503, 0.2500, 0.2492).

As for the formation energy (no corrections): -0.28 eV/atom. The calculation puts the total moment at 0.0 μB per formula unit. Its uncorrected energy is -97.69 eV/cell.

10.
The following is a DFT calculation (PBE) of KYC after structural relaxation.

The structure belongs to space group P-6m2 (No. 187); the cell edges are 3.9241, 3.9241 and 13.3423 Å and the angles 90.00°, 90.00° and 120.00°. The inequivalent atoms are K at (0.0000, 0.0000, 0.0000), K at (0.0000, 0.0000, 0.5000), Y at (0.6667, 0.3333, 0.2296) and C at (0.3333, 0.6667, 0.1853).

As for the energy above the most stable polymorph in this dataset: 0.572 eV per atom. The calculation puts the total moment at 0.5 μB per formula unit. Its uncorrected energy is -30.54 eV/cell. The formation energy from the elements comes out at 0.505 eV per atom.

11.
The following is a DFT calculation (PBE) of Pm12Nd3Tm after structural relaxation.

The structure belongs to space group P4/mmm (No. 123); the cell edges are 5.1546, 5.1546 and 20.6051 Å and the angles 90.00°, 90.00° and 90.00°. The inequivalent atoms are Pm at (0.0000, 0.0000, 0.0000), Pm at (0.0000, 0.0000, 0.2482), Pm at (0.0000, 0.0000, 0.5000), Pm at (0.0000, 0.5000, 0.1229), Pm at (0.0000, 0.5000, 0.3744), Nd at (0.5000, 0.5000, 0.2486), Nd at (0.5000, 0.5000, 0.5000) and Tm at (0.5000, 0.5000, 0.0000).

The calculation puts the total moment at 0.0 μB per formula unit. Its uncorrected energy is -75.56 eV/cell. The formation energy from the elements comes out at 0.014 eV per atom.